A relaxed structure of TlCd2Bi. Source: the Alexandria database, functional PBE-GGA.

The structure in CIF format:
```
data_TlCd2Bi
_chemical_formula_sum 'Tl1 Cd2 Bi1'
_cell_length_a 3.9227
_cell_length_b 3.9227
_cell_length_c 7.2572
_cell_angle_alpha 90.00
_cell_angle_beta 90.00
_cell_angle_gamma 90.00
_symmetry_space_group_name_H-M 'P 4/m m m'
_symmetry_Int_Tables_number 123
_symmetry_space_group_name_Hall '-P 4 2'
loop_
_atom_site_label
_atom_site_type_symbol
_atom_site_fract_x
_atom_site_fract_y
_atom_site_fract_z
_atom_site_occupancy
Tl1 Tl 0.0000 0.0000 0.0000 1
Cd1 Cd 0.5000 0.5000 0.2553 1
Bi1 Bi 0.0000 0.0000 0.5000 1
```

Results
Its total DFT energy (no corrections) is -7.74 eV for the cell shown. Its energy above the most stable polymorph in this dataset is 78.8 meV/atom.

---

A relaxed structure of Tl4CdBi. Source: the Alexandria database, functional PBE-GGA.

The structure in CIF format:
```
data_Tl4CdBi
_chemical_formula_sum 'Tl16 Cd4 Bi4'
_cell_length_a 7.8848
_cell_length_b 7.8848
_cell_length_c 12.7612
_cell_angle_alpha 90.00
_cell_angle_beta 90.00
_cell_angle_gamma 90.00
_symmetry_space_group_name_H-M 'I 4/m c m'
_symmetry_Int_Tables_number 140
_symmetry_space_group_name_Hall '-I 4 2c'
loop_
_atom_site_label
_atom_site_type_symbol
_atom_site_fract_x
_atom_site_fract_y
_atom_site_fract_z
_atom_site_occupancy
Tl1 Tl 0.1479 0.3521 0.1327 1
Cd1 Cd 0.0000 0.0000 0.0000 1
Bi1 Bi 0.0000 0.0000 0.2500 1
```

Results
Its total DFT energy (no corrections) is -55.85 eV for the cell shown. Its energy above the most stable polymorph in this dataset is 0.0 meV/atom.

---

A relaxed structure of TlCd4Bi. Source: the Alexandria database, functional PBE-GGA.

The structure in CIF format:
```
data_TlCd4Bi
_chemical_formula_sum 'Tl4 Cd16 Bi4'
_cell_length_a 8.5798
_cell_length_b 8.5798
_cell_length_c 8.5798
_cell_angle_alpha 90.00
_cell_angle_beta 90.00
_cell_angle_gamma 90.00
_symmetry_space_group_name_H-M 'F -4 3 m'
_symmetry_Int_Tables_number 216
_symmetry_space_group_name_Hall 'F -4 2 3'
loop_
_atom_site_label
_atom_site_type_symbol
_atom_site_fract_x
_atom_site_fract_y
_atom_site_fract_z
_atom_site_occupancy
Tl1 Tl 0.0000 0.0000 0.0000 1
Cd1 Cd 0.1248 0.1248 0.6248 1
Bi1 Bi 0.2500 0.2500 0.2500 1
```

Results
Its total DFT energy (no corrections) is -37.85 eV for the cell shown. Its energy above the most stable polymorph in this dataset is 0.0 meV/atom.

---

A relaxed structure of TlCd2Bi. Source: the Alexandria database, functional PBE-GGA.

The structure in CIF format:
```
data_TlCd2Bi
_chemical_formula_sum 'Tl4 Cd8 Bi4'
_cell_length_a 7.6703
_cell_length_b 7.6703
_cell_length_c 7.6703
_cell_angle_alpha 90.00
_cell_angle_beta 90.00
_cell_angle_gamma 90.00
_symmetry_space_group_name_H-M 'F m -3 m'
_symmetry_Int_Tables_number 225
_symmetry_space_group_name_Hall '-F 4 2 3'
loop_
_atom_site_label
_atom_site_type_symbol
_atom_site_fract_x
_atom_site_fract_y
_atom_site_fract_z
_atom_site_occupancy
Tl1 Tl 0.0000 0.0000 0.0000 1
Cd1 Cd 0.2500 0.2500 0.2500 1
Bi1 Bi 0.0000 0.0000 0.5000 1
```

Results
Its total DFT energy (no corrections) is -31.83 eV for the cell shown. Its energy above the most stable polymorph in this dataset is 24.2 meV/atom.

---

A relaxed structure of Tl15Cd2Bi2. Source: the Alexandria database, functional PBE-GGA.

The structure in CIF format:
```
data_Tl15Cd2Bi2
_chemical_formula_sum 'Tl45 Cd6 Bi6'
_cell_length_a 11.3541
_cell_length_b 11.3541
_cell_length_c 17.2487
_cell_angle_alpha 90.00
_cell_angle_beta 90.00
_cell_angle_gamma 120.00
_symmetry_space_group_name_H-M 'R -3 m'
_symmetry_Int_Tables_number 166
_symmetry_space_group_name_Hall '-R 3 2"'
loop_
_atom_site_label
_atom_site_type_symbol
_atom_site_fract_x
_atom_site_fract_y
_atom_site_fract_z
_atom_site_occupancy
Tl1 Tl 0.0000 0.3332 0.0000 1
Tl2 Tl 0.0000 0.5000 0.5000 1
Tl3 Tl 0.0013 0.5007 0.8347 1
Cd1 Cd 0.0000 0.0000 0.0806 1
Bi1 Bi 0.0000 0.0000 0.2545 1
```

Results
Its total DFT energy (no corrections) is -130.41 eV for the cell shown.

---

A relaxed structure of Tl12Cd5Bi3. Source: the Alexandria database, functional PBE-GGA.

The structure in CIF format:
```
data_Tl12Cd5Bi3
_chemical_formula_sum 'Tl96 Cd40 Bi24'
_cell_length_a 18.1838
_cell_length_b 18.1838
_cell_length_c 18.1838
_cell_angle_alpha 90.00
_cell_angle_beta 90.00
_cell_angle_gamma 90.00
_symmetry_space_group_name_H-M 'I a -3 d'
_symmetry_Int_Tables_number 230
_symmetry_space_group_name_Hall '-I 4bd 2c 3'
loop_
_atom_site_label
_atom_site_type_symbol
_atom_site_fract_x
_atom_site_fract_y
_atom_site_fract_z
_atom_site_occupancy
Tl1 Tl 0.0151 0.0719 0.6511 1
Cd1 Cd 0.0000 0.0000 0.0000 1
Cd2 Cd 0.0000 0.2500 0.3750 1
Bi1 Bi 0.0000 0.2500 0.1250 1
```

Results
Its total DFT energy (no corrections) is -336.91 eV for the cell shown.

---

A relaxed structure of Tl4CdBi2. Source: the Alexandria database, functional PBE-GGA.

The structure in CIF format:
```
data_Tl4CdBi2
_chemical_formula_sum 'Tl12 Cd3 Bi6'
_cell_length_a 5.2028
_cell_length_b 5.2028
_cell_length_c 32.3961
_cell_angle_alpha 90.00
_cell_angle_beta 90.00
_cell_angle_gamma 120.00
_symmetry_space_group_name_H-M 'R -3 m'
_symmetry_Int_Tables_number 166
_symmetry_space_group_name_Hall '-R 3 2"'
loop_
_atom_site_label
_atom_site_type_symbol
_atom_site_fract_x
_atom_site_fract_y
_atom_site_fract_z
_atom_site_occupancy
Tl1 Tl 0.0000 0.0000 0.1236 1
Tl2 Tl 0.0000 0.0000 0.2988 1
Cd1 Cd 0.0000 0.0000 0.5000 1
Bi1 Bi 0.0000 0.0000 0.4079 1
```

Results
Its total DFT energy (no corrections) is -53.45 eV for the cell shown.

---

A relaxed structure of Tl16Cd12Bi. Source: the Alexandria database, functional PBE-GGA.

The structure in CIF format:
```
data_Tl16Cd12Bi
_chemical_formula_sum 'Tl32 Cd24 Bi2'
_cell_length_a 11.7926
_cell_length_b 16.6726
_cell_length_c 10.1193
_cell_angle_alpha 90.00
_cell_angle_beta 124.77
_cell_angle_gamma 90.00
_symmetry_space_group_name_H-M 'C 1 m 1'
_symmetry_Int_Tables_number 8
_symmetry_space_group_name_Hall 'C -2y'
loop_
_atom_site_label
_atom_site_type_symbol
_atom_site_fract_x
_atom_site_fract_y
_atom_site_fract_z
_atom_site_occupancy
Tl1 Tl 0.0000 0.0000 0.0000 1
Tl2 Tl 0.0024 0.0000 0.6465 1
Tl3 Tl 0.0516 0.3389 0.0394 1
Tl4 Tl 0.1543 0.5000 0.3021 1
Tl5 Tl 0.1662 0.1590 0.2513 1
Tl6 Tl 0.1809 0.1784 0.6484 1
Tl7 Tl 0.3080 0.3063 0.9696 1
Tl8 Tl 0.3940 0.0000 0.3512 1
Tl9 Tl 0.4655 0.1379 0.6487 1
Tl10 Tl 0.4867 0.1979 0.3298 1
Cd1 Cd 0.0076 0.1825 0.8276 1
Cd2 Cd 0.1908 0.0000 0.4678 1
Cd3 Cd 0.2305 0.4108 0.6536 1
Cd4 Cd 0.2726 0.0926 0.0092 1
Cd5 Cd 0.3157 0.3163 0.4627 1
Cd6 Cd 0.3692 0.0000 0.8283 1
Cd7 Cd 0.4184 0.4059 0.2948 1
Bi1 Bi 0.1913 0.5000 0.9638 1
```

Results
Its total DFT energy (no corrections) is -104.13 eV for the cell shown.

---

no.,magnetization (Bohr magnetons per cell)
1,0.0
2,0.0
3,0.0
4,0.0
5,0.0
6,0.0
7,0.0
8,0.0